Pa2MnGaO8: relaxed, PBE with a Hubbard U.

The structure in extended XYZ format:
```
12
Lattice="4.736 0.000 0.000 0.213 4.734 0.000 0.443 0.427 7.127" Properties=species:S:1:pos:R:3 pbc="T T T"
Pa 0.134 0.123 1.793
Pa 5.259 5.038 5.334
Mn 2.475 2.367 0.000
Ga 2.696 2.580 3.563
O 1.349 3.988 3.567
O 1.579 4.195 7.124
O 1.812 1.727 5.081
O 1.672 1.604 1.648
O 3.720 3.557 5.479
O 3.581 3.434 2.046
O 3.814 0.966 0.003
O 4.044 1.173 3.560
```

Computed properties:
Crystal system ... triclinic
Volume ... 160 Å³ per cell
Total energy ... -101.774 eV for the cell shown
Magnetic moment ... 3.99 μB per formula unit